{
  "formula": "Hf3HPd",
  "functional": "PBEsol",
  "state": "relaxed",
  "cell": [[4.2768, 0.0000, 0.0000], [0.0000, 4.2768, 0.0000], [0.0000, 0.0000, 4.2768]],
  "species": ["H", "Hf", "Hf", "Hf", "Pd"],
  "frac_coords": [[0.0000, 0.0000, 0.0000], [0.0000, 0.5000, 0.0000], [0.0000, 0.0000, 0.5000], [0.5000, 0.0000, 0.0000], [0.5000, 0.5000, 0.5000]],
  "e_tot_ev_per_atom": -8.4494,
  "rho_g_cm3": 13.65
}